1.
The following is a PBE calculation of Pa3CdS2O6 after structural relaxation, from Alexandria via LeMat-Bulk.

Computed properties:
Formation energy from raw total energies (kJ/mol of atoms): -252.0
DOS(E_F) (states/eV per atom): 0.2646
Total magnetic moment (μB/cell): 0.9

The structure in POSCAR format:
```
Pa3CdS2O6
1.0
6.2914 -3.7767 0.0000
6.2914 3.7767 0.0000
-1.6017 0.0000 5.3910
Pa Cd S O
3 1 2 6
Direct
0.0000 0.0000 0.0000
0.0000 0.5000 0.5000
0.5000 0.0000 0.5000
0.5000 0.5000 0.5000
0.1781 0.1781 0.7841
0.8219 0.8219 0.2159
0.1088 0.7042 0.7641
0.2958 0.8912 0.2359
0.3111 0.3111 0.4052
0.6889 0.6889 0.5948
0.7042 0.1088 0.7641
0.8912 0.2958 0.2359
```

***

2.
The following is a PBE calculation of PaCdS2O8 after structural relaxation, from Alexandria via LeMat-Bulk.

Computed properties:
Formation energy from raw total energies (kJ/mol of atoms): -161.2
DOS(E_F) (states/eV per atom): 0.0335
Total magnetic moment (μB/cell): 1.0

The structure in POSCAR format:
```
PaCdS2O8
1.0
5.8166 0.0000 0.0000
-2.9083 5.0373 0.0000
0.0000 0.0000 8.2187
Pa Cd S O
1 1 2 8
Direct
0.0000 0.0000 0.0000
0.0000 0.0000 0.5000
0.3333 0.6667 0.7893
0.6667 0.3333 0.2107
0.1950 0.3900 0.8606
0.1950 0.8050 0.8606
0.3333 0.6667 0.6157
0.3900 0.1950 0.1394
0.6100 0.8050 0.8606
0.6667 0.3333 0.3843
0.8050 0.1950 0.1394
0.8050 0.6100 0.1394
```

***

3.
The following is a PBE calculation of PaCd2SbO6 after structural relaxation, from Alexandria via LeMat-Bulk.

Computed properties:
Formation energy from raw total energies (kJ/mol of atoms): -164.7
DOS(E_F) (states/eV per atom): 0.3285
Total magnetic moment (μB/cell): 0.0

The structure in POSCAR format:
```
PaCd2SbO6
1.0
5.9375 0.0000 0.0000
0.0000 5.9375 0.0000
0.0000 0.0000 4.2766
Pa Cd Sb O
1 2 1 6
Direct
0.0000 0.0000 0.0000
0.0000 0.5000 0.4440
0.5000 0.0000 0.4440
0.5000 0.5000 0.9904
0.0000 0.0000 0.5063
0.2600 0.2600 0.0324
0.2600 0.7400 0.0324
0.5000 0.5000 0.5162
0.7400 0.2600 0.0324
0.7400 0.7400 0.0324
```

***

4.
The following is a PBE calculation of PaCdSbO5 after structural relaxation, from Alexandria via LeMat-Bulk.

Computed properties:
Formation energy from raw total energies (kJ/mol of atoms): -197.5
DOS(E_F) (states/eV per atom): 0.0000
Total magnetic moment (μB/cell): 0.0

The structure in POSCAR format:
```
PaCdSbO5
1.0
4.1992 -4.4878 0.0000
4.1992 4.4878 0.0000
-3.8972 0.0000 7.3421
Pa Cd Sb O
2 2 2 10
Direct
0.0536 0.9464 0.7500
0.9464 0.0536 0.2500
0.0000 0.5000 0.0000
0.5000 0.0000 0.5000
0.4268 0.5732 0.7500
0.5732 0.4268 0.2500
0.1697 0.6515 0.8455
0.1750 0.8250 0.2500
0.1891 0.2540 0.5130
0.2540 0.1891 0.0130
0.3485 0.8303 0.6545
0.6515 0.1697 0.3455
0.7460 0.8109 0.9870
0.8109 0.7460 0.4870
0.8250 0.1750 0.7500
0.8303 0.3485 0.1545
```

***

5.
The following is a PBE calculation of ScPaCd2O6 after structural relaxation, from Alexandria via LeMat-Bulk.

Computed properties:
Formation energy from raw total energies (kJ/mol of atoms): -245.1
DOS(E_F) (states/eV per atom): 0.0000
Total magnetic moment (μB/cell): 0.0

The structure in POSCAR format:
```
ScPaCd2O6
1.0
2.8443 1.6422 4.9979
-2.8443 1.6422 4.9979
0.0000 -3.2844 4.9979
Sc Pa Cd O
1 1 2 6
Direct
0.0000 0.0000 0.0000
0.4992 0.4992 0.4992
0.2789 0.2789 0.2789
0.7790 0.7790 0.7790
0.1277 0.3613 0.7295
0.2215 0.8699 0.6326
0.3613 0.7295 0.1277
0.6326 0.2215 0.8699
0.7295 0.1277 0.3613
0.8699 0.6326 0.2215
```

***

6.
The following is a PBE calculation of PaCd2SeO8 after structural relaxation, from Alexandria via LeMat-Bulk.

Computed properties:
Formation energy from raw total energies (kJ/mol of atoms): -138.1
DOS(E_F) (states/eV per atom): 0.3880
Total magnetic moment (μB/cell): 1.1

The structure in POSCAR format:
```
PaCd2SeO8
1.0
4.9550 0.0000 0.0000
0.0000 6.7370 0.0000
-0.1435 0.0000 4.9623
Pa Cd Se O
1 2 1 8
Direct
0.0000 0.0000 0.0000
0.5000 0.2650 0.5000
0.5000 0.7350 0.5000
0.0000 0.5000 0.0000
0.1730 0.2963 0.8260
0.1730 0.7037 0.8260
0.2597 0.5000 0.2574
0.2916 0.0000 0.2901
0.7084 0.0000 0.7099
0.7403 0.5000 0.7426
0.8270 0.2963 0.1740
0.8270 0.7037 0.1740
```

***

7.
The following is a PBE calculation of Pa3CdSe2O6 after structural relaxation, from Alexandria via LeMat-Bulk.

Computed properties:
Formation energy from raw total energies (kJ/mol of atoms): -248.2
DOS(E_F) (states/eV per atom): 0.2332
Total magnetic moment (μB/cell): 1.0

The structure in POSCAR format:
```
Pa3CdSe2O6
1.0
6.4636 -3.8163 0.0000
6.4636 3.8163 0.0000
-2.0195 0.0000 5.5583
Pa Cd Se O
3 1 2 6
Direct
0.0000 0.0000 0.0000
0.0000 0.5000 0.5000
0.5000 0.0000 0.5000
0.5000 0.5000 0.5000
0.1794 0.1794 0.7932
0.8206 0.8206 0.2068
0.1030 0.7061 0.7674
0.2939 0.8970 0.2326
0.3115 0.3115 0.4289
0.6885 0.6885 0.5711
0.7061 0.1030 0.7674
0.8970 0.2939 0.2326
```

***

8.
The following is a PBE calculation of PaCd2SiO8 after structural relaxation, from Alexandria via LeMat-Bulk.

Computed properties:
Formation energy from raw total energies (kJ/mol of atoms): -148.1
DOS(E_F) (states/eV per atom): 0.5285
Total magnetic moment (μB/cell): 3.0

The structure in POSCAR format:
```
PaCd2SiO8
1.0
6.0395 0.0000 0.0000
-3.0198 5.2304 0.0000
0.0000 0.0000 5.6132
Pa Cd Si O
1 2 1 8
Direct
0.0000 0.0000 0.0000
0.3333 0.6667 0.5663
0.6667 0.3333 0.4337
0.0000 0.0000 0.5000
0.1364 0.2728 0.6996
0.1364 0.8636 0.6996
0.2728 0.1364 0.3004
0.3333 0.6667 0.1752
0.6667 0.3333 0.8248
0.7272 0.8636 0.6996
0.8636 0.1364 0.3004
0.8636 0.7272 0.3004
```

***

9.
The following is a PBE calculation of PaCd2SiO6 after structural relaxation, from Alexandria via LeMat-Bulk.

Computed properties:
Formation energy from raw total energies (kJ/mol of atoms): -204.4
DOS(E_F) (states/eV per atom): 0.1534
Total magnetic moment (μB/cell): 0.0

The structure in POSCAR format:
```
PaCd2SiO6
1.0
5.4130 0.0000 0.0000
0.0000 5.4130 0.0000
0.0000 0.0000 4.6147
Pa Cd Si O
1 2 1 6
Direct
0.0000 0.0000 0.0000
0.0000 0.5000 0.4441
0.5000 0.0000 0.4441
0.5000 0.5000 0.9650
0.0000 0.0000 0.5192
0.2763 0.2763 0.0639
0.2763 0.7237 0.0639
0.5000 0.5000 0.6051
0.7237 0.2763 0.0639
0.7237 0.7237 0.0639
```

***

10.
The following is a PBE calculation of PaCdSi2O8 after structural relaxation, from Alexandria via LeMat-Bulk.

Computed properties:
Formation energy from raw total energies (kJ/mol of atoms): -240.0
DOS(E_F) (states/eV per atom): 0.6562
Total magnetic moment (μB/cell): 1.0

The structure in POSCAR format:
```
PaCdSi2O8
1.0
-3.4843 3.4843 3.1455
3.4843 -3.4843 3.1455
3.4843 3.4843 -3.1455
Pa Cd Si O
1 1 2 8
Direct
0.0000 0.0000 0.0000
0.2500 0.7500 0.5000
0.5000 0.5000 0.0000
0.7500 0.2500 0.5000
0.3267 0.1503 0.8235
0.3267 0.5032 0.1765
0.4031 0.0925 0.3105
0.4968 0.6733 0.8235
0.7820 0.0925 0.6895
0.8497 0.6733 0.1765
0.9075 0.2180 0.3105
0.9075 0.5969 0.6895
```

***

11.
The following is a PBE calculation of SmPaCdO6 after structural relaxation, from Alexandria via LeMat-Bulk.

Computed properties:
Formation energy from raw total energies (kJ/mol of atoms): -223.6
DOS(E_F) (states/eV per atom): 1.1254
Total magnetic moment (μB/cell): 1.9

The structure in POSCAR format:
```
SmPaCdO6
1.0
5.7400 0.0000 0.0000
-2.8700 4.9710 0.0000
0.0000 0.0000 4.8712
Sm Pa Cd O
1 1 1 6
Direct
0.0000 0.0000 0.0000
0.3333 0.6667 0.5000
0.6667 0.3333 0.0000
0.0190 0.3573 0.2501
0.0190 0.6617 0.7499
0.3383 0.3573 0.7499
0.3383 0.9810 0.2501
0.6427 0.6617 0.2501
0.6427 0.9810 0.7499
```

***

12.
The following is a PBE calculation of PaCdSnO6 after structural relaxation, from Alexandria via LeMat-Bulk.

Computed properties:
Formation energy from raw total energies (kJ/mol of atoms): -196.2
DOS(E_F) (states/eV per atom): 0.9992
Total magnetic moment (μB/cell): 1.8

The structure in POSCAR format:
```
PaCdSnO6
1.0
5.0670 0.0000 0.0000
0.0000 5.0670 0.0000
0.0000 0.0000 10.1640
Pa Cd Sn O
2 2 2 12
Direct
0.0000 0.0000 0.0000
0.5000 0.5000 0.5000
0.0000 0.0000 0.3315
0.5000 0.5000 0.8315
0.0000 0.0000 0.6652
0.5000 0.5000 0.1652
0.1837 0.1837 0.8268
0.1957 0.1957 0.5125
0.2082 0.2082 0.1546
0.2918 0.7082 0.6546
0.3043 0.6957 0.0125
0.3163 0.6837 0.3268
0.6837 0.3163 0.3268
0.6957 0.3043 0.0125
0.7082 0.2918 0.6546
0.7918 0.7918 0.1546
0.8043 0.8043 0.5125
0.8163 0.8163 0.8268
```

***

13.
The following is a PBE calculation of PaCd2SnO8 after structural relaxation, from Alexandria via LeMat-Bulk.

Computed properties:
Formation energy from raw total energies (kJ/mol of atoms): -135.5
DOS(E_F) (states/eV per atom): 0.6883
Total magnetic moment (μB/cell): 1.6

The structure in POSCAR format:
```
PaCd2SnO8
1.0
-3.3192 3.3192 3.9491
3.3192 -3.3192 3.9491
3.3192 3.3192 -3.9491
Pa Cd Sn O
1 2 1 8
Direct
0.0000 0.0000 0.0000
0.5000 0.5000 0.0000
0.7500 0.2500 0.5000
0.2500 0.7500 0.5000
0.2777 0.0849 0.8072
0.2777 0.4705 0.1928
0.3401 0.0299 0.3102
0.5295 0.7223 0.8072
0.7197 0.0299 0.6898
0.9151 0.7223 0.1928
0.9701 0.2803 0.3102
0.9701 0.6599 0.6898
```

***

14.
The following is a PBE calculation of PaTaCdO6 after structural relaxation, from Alexandria via LeMat-Bulk.

Computed properties:
Formation energy from raw total energies (kJ/mol of atoms): -261.1
DOS(E_F) (states/eV per atom): 0.0000
Total magnetic moment (μB/cell): 0.0

The structure in POSCAR format:
```
PaTaCdO6
1.0
5.6415 0.0000 0.0000
-2.8208 4.8857 0.0000
0.0000 0.0000 9.4162
Pa Ta Cd O
2 2 2 12
Direct
0.3333 0.6667 0.2500
0.6667 0.3333 0.7500
0.3333 0.6667 0.7500
0.6667 0.3333 0.2500
0.0000 0.0000 0.0000
0.0000 0.0000 0.5000
0.0234 0.3719 0.6374
0.0234 0.6515 0.8626
0.3485 0.3719 0.8626
0.3485 0.9766 0.6374
0.3719 0.0234 0.1374
0.3719 0.3485 0.3626
0.6281 0.6515 0.6374
0.6281 0.9766 0.8626
0.6515 0.0234 0.3626
0.6515 0.6281 0.1374
0.9766 0.3485 0.1374
0.9766 0.6281 0.3626
```

***

15.
The following is a PBE calculation of TbPa2CdO8 after structural relaxation, from Alexandria via LeMat-Bulk.

Computed properties:
Formation energy from raw total energies (kJ/mol of atoms): -289.8
DOS(E_F) (states/eV per atom): 0.6004
Total magnetic moment (μB/cell): 0.0

The structure in POSCAR format:
```
TbPa2CdO8
1.0
-2.7170 2.7170 5.3954
2.7170 -2.7170 5.3954
2.7170 2.7170 -5.3954
Tb Pa Cd O
1 2 1 8
Direct
0.0000 0.0000 0.0000
0.2500 0.7500 0.5000
0.5000 0.5000 0.0000
0.7500 0.2500 0.5000
0.1420 0.1228 0.5112
0.1420 0.6308 0.0192
0.3692 0.3885 0.5112
0.3692 0.8580 0.9808
0.6115 0.1228 0.9808
0.6115 0.6308 0.4888
0.8772 0.3885 0.0192
0.8772 0.8580 0.4888
```

***

16.
The following is a PBE calculation of PaCdTcO6 after structural relaxation, from Alexandria via LeMat-Bulk.

Computed properties:
Formation energy from raw total energies (kJ/mol of atoms): -201.4
DOS(E_F) (states/eV per atom): 0.5026
Total magnetic moment (μB/cell): 4.0

The structure in POSCAR format:
```
PaCdTcO6
1.0
5.5569 0.0000 0.0000
-2.7785 4.8125 0.0000
0.0000 0.0000 9.4532
Pa Cd Tc O
2 2 2 12
Direct
0.3333 0.6667 0.2500
0.6667 0.3333 0.7500
0.0000 0.0000 0.0000
0.0000 0.0000 0.5000
0.3333 0.6667 0.7500
0.6667 0.3333 0.2500
0.0258 0.3710 0.6372
0.0258 0.6549 0.8628
0.3451 0.3710 0.8628
0.3451 0.9742 0.6372
0.3710 0.0258 0.1372
0.3710 0.3451 0.3628
0.6290 0.6549 0.6372
0.6290 0.9742 0.8628
0.6549 0.0258 0.3628
0.6549 0.6290 0.1372
0.9742 0.3451 0.1372
0.9742 0.6290 0.3628
```

***

17.
The following is a PBE calculation of PaCdTe2O8 after structural relaxation, from Alexandria via LeMat-Bulk.

Computed properties:
Formation energy from raw total energies (kJ/mol of atoms): -147.6
DOS(E_F) (states/eV per atom): 0.3500
Total magnetic moment (μB/cell): 0.0

The structure in POSCAR format:
```
PaCdTe2O8
1.0
-3.6427 3.6427 3.5609
3.6427 -3.6427 3.5609
3.6427 3.6427 -3.5609
Pa Cd Te O
1 1 2 8
Direct
0.0000 0.0000 0.0000
0.2500 0.7500 0.5000
0.5000 0.5000 0.0000
0.7500 0.2500 0.5000
0.3019 0.1171 0.8152
0.3019 0.4867 0.1848
0.3509 0.0562 0.2947
0.5133 0.6981 0.8152
0.7616 0.0562 0.7053
0.8829 0.6981 0.1848
0.9438 0.2384 0.2947
0.9438 0.6491 0.7053
```

***

18.
The following is a PBE calculation of PaCdTeO5 after structural relaxation, from Alexandria via LeMat-Bulk.

Computed properties:
Formation energy from raw total energies (kJ/mol of atoms): -188.7
DOS(E_F) (states/eV per atom): 0.1747
Total magnetic moment (μB/cell): 0.0

The structure in POSCAR format:
```
PaCdTeO5
1.0
3.5757 -4.8931 0.0000
3.5757 4.8931 0.0000
-2.8629 0.0000 7.9715
Pa Cd Te O
2 2 2 10
Direct
0.0000 0.0000 0.0000
0.0000 0.0000 0.5000
0.3164 0.6836 0.7500
0.6836 0.3164 0.2500
0.3425 0.6575 0.2500
0.6575 0.3425 0.7500
0.0342 0.9658 0.2500
0.2044 0.7750 0.9735
0.2250 0.7956 0.5265
0.3361 0.3567 0.1070
0.3567 0.3361 0.6070
0.6433 0.6639 0.3930
0.6639 0.6433 0.8930
0.7750 0.2044 0.4735
0.7956 0.2250 0.0265
0.9658 0.0342 0.7500
```

***

19.
The following is a PBE calculation of PaTl3Cd2O6 after structural relaxation, from Alexandria via LeMat-Bulk.

Computed properties:
Formation energy from raw total energies (kJ/mol of atoms): -151.4
Total magnetic moment (μB/cell): 0.0

The structure in POSCAR format:
```
PaTl3Cd2O6
1.0
3.0106 -5.2370 0.0000
3.0106 5.2370 0.0000
-1.9488 0.0000 6.5856
Pa Tl Cd O
1 3 2 6
Direct
0.0000 0.0000 0.0000
0.1709 0.8291 0.5000
0.5000 0.5000 0.5000
0.8291 0.1709 0.5000
0.3338 0.6662 0.0000
0.6662 0.3338 0.0000
0.0625 0.3694 0.1796
0.2438 0.2438 0.8102
0.3694 0.0625 0.1796
0.6306 0.9375 0.8204
0.7562 0.7562 0.1898
0.9375 0.6306 0.8204
```

***

20.
The following is a PBE calculation of PaTl2Cd2O6 after structural relaxation, from Alexandria via LeMat-Bulk.

Computed properties:
Formation energy from raw total energies (kJ/mol of atoms): -145.9
DOS(E_F) (states/eV per atom): 1.0266
Total magnetic moment (μB/cell): 0.0

The structure in POSCAR format:
```
PaTl2Cd2O6
1.0
3.2804 1.8939 5.6345
-3.2804 1.8939 5.6345
0.0000 -3.7879 5.6345
Pa Tl Cd O
1 2 2 6
Direct
0.0000 0.0000 0.0000
0.2042 0.2042 0.2042
0.7958 0.7958 0.7958
0.4047 0.4047 0.4047
0.5953 0.5953 0.5953
0.2158 0.7711 0.7711
0.2289 0.2289 0.7842
0.2289 0.7842 0.2289
0.7711 0.2158 0.7711
0.7711 0.7711 0.2158
0.7842 0.2289 0.2289
```